Record 1
The following is a DFT calculation (PBEsol) of a relaxed CsSi3N crystal.

Calculated values
- energy relative to the elements, uncorrected (kJ/mol of atoms) = 311
- total energy (eV/atom) = -2.121
- size of the total moment (μB/f.u.) = 2.4
- calculated volume (A^3/atom) = 35.1

a b c (Å): 5.598 5.598 5.598
angles (deg): 90.00 90.00 90.00
Element x y z (fractional)
Cs  0.000  0.000  0.000
N  0.500  0.500  0.500
Si  0.500  0.000  0.000
Si  0.000  0.500  0.000
Si  0.000  0.000  0.500



Record 2
The following is a DFT calculation (PBEsol) of a relaxed CsSnN3 crystal.

Calculated values
- energy relative to the elements, uncorrected (kJ/mol of atoms) = 123
- total energy (eV/atom) = -4.879
- size of the total moment (μB/f.u.) = 4.0
- calculated volume (A^3/atom) = 16.8

a b c (Å): 4.378 4.378 4.378
angles (deg): 90.00 90.00 90.00
Element x y z (fractional)
N  0.000  0.000  0.500
Sn  0.000  0.000  0.000
N  0.500  0.000  0.000
Cs  0.500  0.500  0.500
N  0.000  0.500  0.000



> What is the size of the total moment in the first record?

2.4 μB/f.u.